Record 1
Density functional theory data (GGA-PBE) for an optimized crystal structure of Dy6MgP2Se3.

Uncorrected formation energy (meV per atom): -1379.6
Density of states at the Fermi level (states/eV per cell): 5.44

Cell: 9.1345 9.1345 8.3246 Å, 102.22 102.22 25.57°
With the nearest neighbours (Å) after each atom.
Atoms (fractional coordinates):
Dy 0.0079 0.0079 0.2725  3 Se 2.79-2.99, 1 P 2.80, 2 Mg 3.02
Dy 0.3252 0.3252 0.8909  2 P 2.80, 3 Se 2.82-3.03, 1 Mg 3.05
Dy 0.3278 0.3278 0.4272  3 P 2.77-2.80, 3 Se 3.00
Dy 0.6722 0.6722 0.5728  3 P 2.77-2.80, 3 Se 3.00
Dy 0.6748 0.6748 0.1091  2 P 2.80, 3 Se 2.82-3.03, 1 Mg 3.05
Dy 0.9921 0.9921 0.7275  3 Se 2.79-2.99, 1 P 2.80, 2 Mg 3.02
Mg 0.5000 0.5000 0.0000  6 Dy 3.02-3.05
P 0.1686 0.1686 0.3381  6 Dy 2.77-2.80
P 0.8314 0.8314 0.6619  6 Dy 2.77-2.80
Se 0.1634 0.1634 0.8342  6 Dy 2.82-3.03
Se 0.5000 0.5000 0.5000  6 Dy 2.79-3.00
Se 0.8366 0.8366 0.1658  6 Dy 2.82-3.03

Record 2
Density functional theory data (GGA-PBE) for an optimized crystal structure of TiAg2TeSe.

Uncorrected formation energy (meV per atom): 751.8
Density of states at the Fermi level (states/eV per cell): 4.82

Cell: 5.2774 5.2774 5.0442 Å, 90.00 90.00 90.00°
With the nearest neighbours (Å) after each atom.
Atoms (fractional coordinates):
Ti 0.0000 0.0000 0.0000  2 Te 2.52, 4 Ag 2.64
Ag 0.0000 0.5000 0.0000  2 Ti 2.64
Ag 0.5000 0.0000 0.0000  2 Ti 2.64
Te 0.0000 0.0000 0.5000  2 Ti 2.52
Se 0.5000 0.5000 0.5000  8 Ag 3.65, 4 Te 3.73

Record 3
Density functional theory data (GGA-PBE) for an optimized crystal structure of SbPdPb.

Uncorrected formation energy (meV per atom): -233.2
Polymorph energy (0 for the lowest one) (eV per atom): 0.019
Density of states at the Fermi level (states/eV per cell): 1.46

Cell: 6.9118 6.9118 6.9118 Å, 151.88 151.88 40.18°
With the nearest neighbours (Å) after each atom.
Atoms (fractional coordinates):
Sb 0.0000 0.0000 0.0000  4 Pd 2.80
Pd 0.3852 0.3852 0.0000  4 Sb 2.80, 4 Pb 3.10
Pb 0.7315 0.7315 0.0000  4 Pd 3.10, 4 Pb 3.36

Record 4
Density functional theory data (GGA-PBE) for an optimized crystal structure of Pr8Nd2Sn.

Density of states at the Fermi level (states/eV per cell): 15.10
Energy of formation from the pure elements (kJ per mole of atoms): -11.18

Cell: 9.7107 9.7107 8.2306 Å, 104.68 104.68 30.30°
With the nearest neighbours (Å) after each atom.
Atoms (fractional coordinates):
Pr 0.0425 0.0425 0.2353  9 Pr 3.56-3.78, 2 Sn 3.57, 1 Nd 3.71
Pr 0.1358 0.1358 0.6767  7 Pr 3.57-3.78, 2 Sn 3.62, 3 Nd 3.69
Pr 0.3244 0.3244 0.5913  1 Sn 3.56, 8 Pr 3.57-3.79, 3 Nd 3.67-3.74
Pr 0.4111 0.4111 0.0622  1 Sn 3.55, 8 Pr 3.56-3.79, 3 Nd 3.65-3.70
Pr 0.5889 0.5889 0.9378  1 Sn 3.55, 8 Pr 3.56-3.79, 3 Nd 3.65-3.70
Pr 0.6756 0.6756 0.4087  1 Sn 3.56, 8 Pr 3.57-3.79, 3 Nd 3.67-3.74
Pr 0.8642 0.8642 0.3233  7 Pr 3.57-3.78, 2 Sn 3.62, 3 Nd 3.69
Pr 0.9575 0.9575 0.7647  9 Pr 3.56-3.78, 2 Sn 3.57, 1 Nd 3.71
Nd 0.2241 0.2241 0.1341  10 Pr 3.65-3.74, 2 Nd 3.66
Nd 0.7759 0.7759 0.8659  10 Pr 3.65-3.74, 2 Nd 3.66
Sn 0.5000 0.5000 0.5000  12 Pr 3.55-3.62